The following is a PBE calculation of a relaxed Hf2TiTc crystal, from Alexandria via LeMat-Bulk.

## Properties
Distance to the lowest polymorph of the same formula: 50 meV/atom
Formation enthalpy at 0 K: -0.17 eV/atom

Unit cell a=4.7135 b=4.7135 c=4.7135 alpha=60.00 beta=60.00 gamma=60.00
Site moments in Bohr magnetons follow the coordinates.
Fractional coordinates of all 4 atoms:
Hf1 0.2500 0.2500 0.2500  0.31
Hf2 0.7500 0.7500 0.7500  0.31
Tc1 0.5000 0.5000 0.5000  -0.14
Ti1 0.0000 0.0000 0.0000  1.23